Entry 1:
# MgFeMo

A geometry-optimized MgFeMo structure (PBE, the Alexandria database).

V (Å³ per cell): 195
Energy (eV/atom): -6.353

Unit cell a=5.7975 b=5.7975 c=5.7975 alpha=90.00 beta=90.00 gamma=90.00
Closest atoms and distances in Å follow each position.
Space group F-43m (No. 216)
Inequivalent atoms, fractional coordinates:
Mg: 0.0000 0.0000 0.0000 x4  4 Fe 2.51
Fe: 0.2500 0.2500 0.2500 x4  4 Mo 2.51, 4 Mg 2.51
Mo: 0.0000 0.0000 0.5000 x4  4 Fe 2.51


Entry 2:
# InNi2P

A geometry-optimized InNi2P structure (PBE, the Alexandria database).

V (Å³ per cell): 56
Energy (eV/atom): -4.871

Unit cell a=4.0781 b=4.0781 c=3.3485 alpha=90.00 beta=90.00 gamma=90.00
Closest atoms and distances in Å follow each position.
Space group P4/mmm (No. 123)
Inequivalent atoms, fractional coordinates:
In: 0.0000 0.0000 0.0000 x1  8 Ni 2.64, 4 P 2.88
Ni: 0.0000 0.5000 0.5000 x2  4 In 2.64, 4 P 2.64, 4 Ni 2.88
P: 0.5000 0.5000 0.0000 x1  8 Ni 2.64, 4 In 2.88


Entry 3:
# Be2CuAsH

A geometry-optimized Be2CuAsH structure (PBE, the Alexandria database).

V (Å³ per cell): 52
Energy (eV/atom): -3.497

Unit cell a=3.7961 b=3.7961 c=3.5820 alpha=90.00 beta=90.00 gamma=90.00
Closest atoms and distances in Å follow each position.
Space group P4/mmm (No. 123)
Inequivalent atoms, fractional coordinates:
Be: 0.0000 0.5000 0.0000 x2  2 H 1.90
Cu: 0.0000 0.0000 0.5000 x1  2 H 1.79
As: 0.5000 0.5000 0.5000 x1  8 Be 2.61, 4 Cu 2.68
H: 0.0000 0.0000 0.0000 x1  2 Cu 1.79, 4 Be 1.90


Entry 4:
# Pr12Nd3Tl

A geometry-optimized Pr12Nd3Tl structure (PBE, the Alexandria database).

V (Å³ per cell): 560
Energy (eV/atom): -4.660

Unit cell a=5.1571 b=5.1571 c=21.0498 alpha=90.00 beta=90.00 gamma=90.00
Closest atoms and distances in Å follow each position.
Space group P4/mmm (No. 123)
Inequivalent atoms, fractional coordinates:
Pr: 0.0000 0.0000 0.0000 x1  8 Pr 3.61, 4 Tl 3.65
Pr: 0.0000 0.0000 0.2454 x2  4 Nd 3.65, 8 Pr 3.69-3.73
Pr: 0.0000 0.0000 0.5000 x1  4 Nd 3.65, 8 Pr 3.71
Pr: 0.0000 0.5000 0.1201 x4  2 Tl 3.61, 8 Pr 3.61-3.69, 2 Nd 3.71
Pr: 0.0000 0.5000 0.3732 x4  8 Pr 3.65-3.73, 4 Nd 3.70-3.71
Nd: 0.5000 0.5000 0.2471 x2  12 Pr 3.65-3.71
Nd: 0.5000 0.5000 0.5000 x1  12 Pr 3.65-3.71
Tl: 0.5000 0.5000 0.0000 x1  12 Pr 3.61-3.65


Which value of energy does entry 4 give?
-4.660 eV/atom


What is the formula in the second record?
InNi2P


Look up the V of the third one.
52 Å³ per cell